No. 1
Compound: RbLaP2Pt4
Source: the Alexandria database
Functional: GGA-PBE
Structure: relaxed

Results
DFT total energy: -46.7 eV for the cell shown
space group: P4/mmm (123)
spin magnetization: 0.0000 μB per atom

Lattice parameters (Å, degrees): 4.1506 4.1506 11.0110 90.00 90.00 90.00
Sites, in units of the cell vectors:
P  0.5000  0.5000  0.3038
P  0.5000  0.5000  0.6962
La  0.0000  0.0000  0.0000
Pt  0.5000  0.0000  0.7949
Pt  0.0000  0.5000  0.2051
Pt  0.5000  0.0000  0.2051
Pt  0.0000  0.5000  0.7949
Rb  0.0000  0.0000  0.5000

No. 2
Compound: LaP2PtRh5
Source: the Alexandria database
Functional: GGA-PBE
Structure: relaxed

Results
DFT total energy: -63.3 eV for the cell shown
space group: P4/mmm (123)
spin magnetization: 0.0000 μB per atom

Lattice parameters (Å, degrees): 3.9978 3.9978 10.3020 90.00 90.00 90.00
Sites, in units of the cell vectors:
Rh  0.5000  0.0000  0.1697
Rh  0.0000  0.5000  0.8303
Rh  0.0000  0.5000  0.1697
Rh  0.5000  0.5000  0.5000
Rh  0.5000  0.0000  0.8303
P  0.5000  0.5000  0.2772
P  0.5000  0.5000  0.7228
La  0.0000  0.0000  0.5000
Pt  0.0000  0.0000  0.0000

No. 3
Compound: La3P2PtRh9
Source: the Alexandria database
Functional: GGA-PBE
Structure: relaxed

Results
DFT total energy: -106.6 eV for the cell shown
space group: P-3m1 (164)
spin magnetization: 0.0000 μB per atom

Lattice parameters (Å, degrees): 5.9747 5.9747 9.4318 90.00 90.00 120.00
Sites, in units of the cell vectors:
Rh  0.5000  0.5000  0.0000
Rh  0.6953  0.8477  0.2783
Rh  0.5000  0.0000  0.0000
Rh  0.8477  0.6953  0.7217
Rh  0.3047  0.1523  0.7217
Rh  0.8477  0.1523  0.7217
Rh  0.0000  0.5000  0.0000
Rh  0.1523  0.8477  0.2783
Rh  0.1523  0.3047  0.2783
P  0.3333  0.6667  0.1578
P  0.6667  0.3333  0.8422
Pt  0.0000  0.0000  0.5000
La  0.6667  0.3333  0.3676
La  0.0000  0.0000  0.0000
La  0.3333  0.6667  0.6324

No. 4
Compound: LaPPt2Rh
Source: the Alexandria database
Functional: GGA-PBE
Structure: relaxed

Results
DFT total energy: -31.1 eV for the cell shown
space group: P4/mmm (123)
spin magnetization: 0.0000 μB per atom

Lattice parameters (Å, degrees): 5.0978 4.2485 5.0978 90.00 90.00 90.00
Sites, in units of the cell vectors:
Rh  0.0000  0.0000  0.0000
Pt  0.0000  0.0000  0.5000
Pt  0.5000  0.0000  0.0000
P  0.0000  0.5000  0.0000
La  0.5000  0.5000  0.5000

No. 5
Compound: La2P3PtRh12
Source: the Alexandria database
Functional: GGA-PBE
Structure: relaxed

Results
DFT total energy: -123.8 eV for the cell shown
space group: R-3m (166)
spin magnetization: 0.0000 μB per atom

Lattice parameters (Å, degrees): 6.9952 6.9952 6.9952 75.35 75.35 75.35
Sites, in units of the cell vectors:
Rh  0.1541  0.6365  0.1541
Rh  0.6692  0.0845  0.6692
Rh  0.9155  0.3308  0.3308
Rh  0.3635  0.8459  0.8459
Rh  0.3308  0.9155  0.3308
Rh  0.6365  0.1541  0.1541
Rh  0.8459  0.3635  0.8459
Rh  0.3308  0.3308  0.9155
Rh  0.1541  0.1541  0.6365
Rh  0.0845  0.6692  0.6692
Rh  0.8459  0.8459  0.3635
Rh  0.6692  0.6692  0.0845
P  0.5000  0.0000  0.0000
P  0.0000  0.0000  0.5000
P  0.0000  0.5000  0.0000
La  0.6098  0.6098  0.6098
La  0.3902  0.3902  0.3902
Pt  0.0000  0.0000  0.0000

No. 6
Compound: LaP2PtS
Source: the Alexandria database
Functional: GGA-PBE
Structure: relaxed

Results
DFT total energy: -19.9 eV for the cell shown
space group: P4/mmm (123)
spin magnetization: 0.1054 μB per atom
ΔE to the lowest computed polymorph: 1631.5 meV/atom

Lattice parameters (Å, degrees): 5.5345 5.5345 5.2833 90.00 90.00 90.00
Last column: magnetic moment on the atom in μB.
Sites, in units of the cell vectors:
P  0.0000  0.5000  0.0000  0.08
P  0.5000  0.0000  0.0000  0.08
S  0.0000  0.0000  0.5000  0.05
La  0.0000  0.0000  0.0000  0.02
Pt  0.5000  0.5000  0.5000  0.06

No. 7
Compound: LaP2PtS8
Source: the Alexandria database
Functional: GGA-PBE
Structure: relaxed

Results
DFT total energy: -59.2 eV for the cell shown
space group: P-3m1 (164)
spin magnetization: 0.0002 μB per atom

Lattice parameters (Å, degrees): 6.5327 6.5327 8.2946 90.00 90.00 120.00
Sites, in units of the cell vectors:
S  0.1548  0.3096  0.7899
S  0.3096  0.1548  0.2101
S  0.1548  0.8452  0.7899
S  0.6904  0.8452  0.7899
S  0.6667  0.3333  0.5102
S  0.3333  0.6667  0.4898
S  0.8452  0.1548  0.2101
S  0.8452  0.6904  0.2101
Pt  0.0000  0.0000  0.0000
La  0.0000  0.0000  0.5000
P  0.6667  0.3333  0.2687
P  0.3333  0.6667  0.7313

No. 8
Compound: LaPPtS2
Source: the Alexandria database
Functional: GGA-PBE
Structure: relaxed

Results
DFT total energy: -20.3 eV for the cell shown
space group: P4/mmm (123)
spin magnetization: 0.5050 μB per atom
ΔE to the lowest computed polymorph: 1514.8 meV/atom

Lattice parameters (Å, degrees): 5.3936 5.3936 5.6293 90.00 90.00 90.00
Last column: magnetic moment on the atom in μB.
Sites, in units of the cell vectors:
S  0.0000  0.5000  0.0000  0.30
S  0.5000  0.0000  0.0000  0.30
P  0.0000  0.0000  0.5000  0.40
Pt  0.5000  0.5000  0.5000  0.60
La  0.0000  0.0000  0.0000  0.06

No. 9
Compound: La6P2PtS3
Source: the Alexandria database
Functional: GGA-PBE
Structure: relaxed

Results
DFT total energy: -80.4 eV for the cell shown
space group: C2/m (12)
spin magnetization: 0.0000 μB per atom

Lattice parameters (Å, degrees): 4.2041 8.4915 9.4395 102.85 102.87 90.00
Sites, in units of the cell vectors:
La  0.3315  0.4192  0.6629
La  0.6681  0.0888  0.3362
La  0.6685  0.5808  0.3371
La  0.0012  0.2517  0.0023
La  0.3319  0.9112  0.6638
La  0.9988  0.7483  0.9977
S  0.8324  0.1663  0.6647
S  0.1676  0.8337  0.3353
S  0.5000  0.5000  0.0000
P  0.8337  0.6660  0.6674
P  0.1663  0.3340  0.3326
Pt  0.5000  0.0000  0.0000

No. 10
Compound: La4PPtS2
Source: the Alexandria database
Functional: GGA-PBE
Structure: relaxed

Results
DFT total energy: -53.3 eV for the cell shown
space group: P2/m (10)
spin magnetization: 0.0000 μB per atom

Lattice parameters (Å, degrees): 4.1889 7.3305 7.3652 70.95 90.00 90.00
Sites, in units of the cell vectors:
La  0.0000  0.7485  0.7481
La  0.0000  0.2515  0.2519
La  0.5000  0.2509  0.7451
La  0.5000  0.7491  0.2549
S  0.5000  0.0000  0.5000
S  0.0000  0.0000  0.0000
P  0.0000  0.5000  0.5000
Pt  0.5000  0.5000  0.0000

No. 11
Compound: LaP2PtS
Source: the Alexandria database
Functional: GGA-PBE
Structure: relaxed

Results
DFT total energy: -28.1 eV for the cell shown
space group: P4/mmm (123)
spin magnetization: 0.0000 μB per atom
ΔE to the lowest computed polymorph: 0.0 meV/atom

Lattice parameters (Å, degrees): 4.6470 4.6470 5.0179 90.00 90.00 90.00
Sites, in units of the cell vectors:
Pt  0.0000  0.0000  0.0000
La  0.5000  0.5000  0.5000
P  0.0000  0.5000  0.0000
P  0.5000  0.0000  0.0000
S  0.0000  0.0000  0.5000

No. 12
Compound: LaPPtS2
Source: the Alexandria database
Functional: GGA-PBE
Structure: relaxed

Results
DFT total energy: -27.9 eV for the cell shown
space group: P4/mmm (123)
spin magnetization: 0.0000 μB per atom
ΔE to the lowest computed polymorph: 0.0 meV/atom

Lattice parameters (Å, degrees): 4.8956 4.8956 4.5333 90.00 90.00 90.00
Sites, in units of the cell vectors:
P  0.0000  0.0000  0.5000
S  0.0000  0.5000  0.0000
S  0.5000  0.0000  0.0000
Pt  0.0000  0.0000  0.0000
La  0.5000  0.5000  0.5000